(1)
5
Lattice="5.024 0.000 0.000 0.000 5.024 0.000 0.000 0.000 4.593" Properties=species:S:1:pos:R:3 comment="Ti2InCuSi PBE optimized geometry" formation_energy_uncorrected_ev_per_atom=1.19 pbc="T T T"
Ti 0.000 2.512 0.000
Ti 2.512 0.000 0.000
In 0.000 0.000 0.000
Cu 0.000 0.000 2.296
Si 2.512 2.512 2.296

=====

(2)
10
Lattice="2.164 -10.731 0.000 2.164 10.731 0.000 0.000 0.000 7.568" Properties=species:S:1:pos:R:3 comment="ThZrTe3 PBE optimized geometry" formation_energy_uncorrected_ev_per_atom=-0.94 relative_energy_mev_per_atom=52 pbc="T T T"
Th 2.164 7.295 3.784
Th 2.164 -7.295 0.000
Zr 2.164 3.675 3.777
Zr 2.164 -3.675 7.561
Te 2.164 8.748 1.052
Te 2.164 5.379 6.284
Te 2.164 1.779 1.499
Te 2.164 -1.779 5.283
Te 2.164 -5.379 2.500
Te 2.164 -8.748 4.836

=====

(3)
Computed, not measured: a geometry-optimized La2AgAs structure at the PBE level of DFT.

Geometry as extended XYZ:
```
4
Lattice="2.133 1.232 7.753 -2.133 1.232 7.753 0.000 -2.463 7.753" Properties=species:S:1:pos:R:3 pbc="T T T"
La 0.000 0.000 0.000
La 0.000 0.000 4.259
Ag 0.000 0.000 17.641
As 0.000 0.000 13.775
```

=====

(4)
20
Lattice="8.439 4.872 4.077 -8.439 4.872 4.077 0.000 -9.745 4.077" Properties=species:S:1:pos:R:3 comment="Ac7RuI12 PBE optimized geometry" formation_energy_uncorrected_ev_per_atom=-1.29 pbc="T T T"
Ac 0.000 0.000 0.000
Ac -2.381 -0.560 4.449
Ac 1.676 -1.782 4.449
Ac 0.705 2.342 4.449
Ac -0.705 -2.342 7.781
Ac -1.676 1.782 7.781
Ac 2.381 0.560 7.781
Ru 0.000 0.000 6.115
I -0.716 -2.482 2.027
I -1.791 1.861 2.027
I -3.343 -3.434 5.931
I -4.646 1.178 6.299
I 2.508 0.621 2.027
I 1.303 -4.612 6.299
I -1.303 4.612 5.931
I -2.508 -0.621 10.203
I 4.646 -1.178 5.931
I 3.343 3.434 6.299
I 1.791 -1.861 10.203
I 0.716 2.482 10.203

=====

(5)
4
Lattice="2.641 0.000 0.000 0.000 3.823 0.000 0.000 0.000 5.216" Properties=species:S:1:pos:R:3 comment="LiTc2Ni PBE optimized geometry" relative_energy_mev_per_atom=77 pbc="T T T"
Li 0.000 0.000 0.000
Tc 0.000 0.000 2.552
Tc 1.321 1.911 3.791
Ni 1.321 1.911 1.115

=====

(6)
4
Lattice="3.081 -3.112 0.000 3.081 3.112 0.000 -3.080 0.000 3.086" Properties=species:S:1:pos:R:3 comment="BeCdRe2 PBE optimized geometry" relative_energy_mev_per_atom=318 pbc="T T T"
Be 0.000 0.000 0.000
Cd 1.541 -1.553 1.543
Re 1.541 1.563 1.543
Re 3.081 0.003 0.000

=====

(7)
5
Lattice="5.336 0.000 0.000 0.000 5.336 0.000 0.000 0.000 5.351" Properties=species:S:1:pos:R:3 comment="AgBi2TeMo PBE optimized geometry" formation_energy_uncorrected_ev_per_atom=0.76 pbc="T T T"
Ag 0.000 0.000 0.000
Bi 0.000 2.668 2.676
Bi 2.668 0.000 2.676
Te 2.668 2.668 0.000
Mo 0.000 0.000 2.676

=====

(8)
40
Lattice="15.229 0.000 0.000 0.000 18.486 0.000 0.000 0.000 4.097" Properties=species:S:1:pos:R:3 comment="Cs3Cu2Bi5S10 PBE optimized geometry" formation_energy_uncorrected_ev_per_atom=-0.60 pbc="T T T"
Cs 0.000 0.000 0.000
Cs 0.294 4.623 2.048
Cs 7.320 13.866 0.000
Cs 7.615 9.243 2.048
Cs 7.909 4.620 0.000
Cs 14.935 13.863 2.048
Cu 3.518 13.884 0.000
Cu 4.097 4.641 2.048
Cu 11.133 13.845 2.048
Cu 11.711 4.602 0.000
Bi 0.000 9.243 0.000
Bi 3.208 10.954 2.048
Bi 3.732 16.593 2.048
Bi 3.883 7.350 0.000
Bi 4.407 1.711 0.000
Bi 7.615 0.000 2.048
Bi 10.822 16.775 0.000
Bi 11.347 11.136 0.000
Bi 11.497 1.893 2.048
Bi 12.022 7.532 2.048
S 1.440 11.672 0.000
S 1.776 8.265 2.048
S 2.133 15.736 0.000
S 2.731 0.544 2.048
S 3.151 4.107 0.000
S 4.464 13.350 2.048
S 4.884 9.787 0.000
S 5.481 6.492 2.048
S 5.838 17.508 0.000
S 6.174 2.429 2.048
S 9.055 16.057 2.048
S 9.391 0.978 0.000
S 9.748 11.994 2.048
S 10.345 8.699 0.000
S 10.765 5.136 2.048
S 12.079 14.379 0.000
S 12.499 17.942 2.048
S 13.096 2.751 0.000
S 13.453 10.222 2.048
S 13.789 6.814 0.000

=====

(9)
5
Lattice="6.424 0.000 0.000 0.000 6.424 0.000 0.000 0.000 5.910" Properties=species:S:1:pos:R:3 comment="Sr2MgIN PBE optimized geometry" formation_energy_uncorrected_ev_per_atom=0.90 pbc="T T T"
Sr 0.000 3.212 0.000
Sr 3.212 0.000 0.000
Mg 0.000 0.000 0.000
I 0.000 0.000 2.955
N 3.212 3.212 2.955

=====

(10)
Computed, not measured: a geometry-optimized PuNi2SnH structure at the PBE level of DFT.

Geometry as extended XYZ:
```
10
Lattice="1.952 -5.833 0.000 1.952 5.833 0.000 0.000 0.000 6.728" Properties=species:S:1:pos:R:3 pbc="T T T"
Pu 1.952 5.293 5.046
Pu 1.952 -5.293 1.682
Ni 1.952 1.583 3.783
Ni 1.952 1.583 6.309
Ni 1.952 -1.583 0.419
Ni 1.952 -1.583 2.945
Sn 1.952 3.120 1.682
Sn 1.952 -3.120 5.046
H 1.952 0.000 0.000
H 1.952 0.000 3.364
```

=====

(11)
5
Lattice="-2.497 2.497 7.805 2.497 -2.497 7.805 2.497 2.497 -7.805" Properties=species:S:1:pos:R:3 comment="Sr2CaCl2 PBE optimized geometry" formation_energy_uncorrected_ev_per_atom=-1.31 relative_energy_mev_per_atom=0 pbc="T T T"
Sr 0.000 0.000 2.216
Sr 0.000 0.000 13.394
Ca 0.000 0.000 7.805
Cl 2.497 0.000 3.902
Cl 0.000 2.497 3.902

=====

(12)
Computed, not measured: a geometry-optimized Sm4Tm3Tl4 structure at the PBE level of DFT.

Geometry as extended XYZ:
```
11
Lattice="-1.796 2.565 18.026 1.796 -2.565 18.026 1.796 2.565 -18.026" Properties=species:S:1:pos:R:3 pbc="T T T"
Sm 0.000 0.000 3.361
Sm 1.796 0.000 9.573
Sm 0.000 2.565 8.453
Sm 0.000 0.000 32.691
Tm 1.796 0.000 0.000
Tm 0.000 0.000 12.730
Tm 0.000 0.000 23.321
Tl 0.000 0.000 6.530
Tl 1.796 0.000 16.418
Tl 0.000 2.565 1.608
Tl 0.000 0.000 29.522
```

=====

(13)
8
Lattice="-2.115 2.115 4.734 2.115 -2.115 4.734 2.115 2.115 -4.734" Properties=species:S:1:pos:R:3 comment="H2BrF PBE optimized geometry" relative_energy_mev_per_atom=821 pbc="T T T"
H 3.173 0.938 -1.184
H 0.938 1.058 1.184
H -1.058 1.177 3.551
H 1.177 1.058 5.918
Br 0.000 0.000 0.000
Br 0.000 2.115 2.367
F 2.115 0.000 2.367
F 0.000 0.000 4.734

=====

(14)
8
Lattice="7.102 0.000 0.000 0.000 3.949 0.000 -2.268 0.000 6.847" Properties=species:S:1:pos:R:3 comment="Dy4RhSe2Cl PBE optimized geometry" formation_energy_uncorrected_ev_per_atom=-1.40 pbc="T T T"
Dy 1.064 0.000 1.565
Dy -0.042 1.975 5.149
Dy 4.876 1.975 1.698
Dy 3.770 0.000 5.282
Rh 0.000 1.975 0.000
Se -1.134 0.000 3.423
Se 2.417 1.975 3.423
Cl 3.551 0.000 0.000

=====

(15)
4
Lattice="2.029 1.172 7.551 -2.029 1.172 7.551 0.000 -2.343 7.551" Properties=species:S:1:pos:R:3 comment="Tb2PtCl PBE optimized geometry" formation_energy_uncorrected_ev_per_atom=-1.33 relative_energy_mev_per_atom=37 pbc="T T T"
Tb 0.000 0.000 0.000
Tb 0.000 0.000 4.533
Pt 0.000 0.000 13.582
Cl 0.000 0.000 9.675

=====

(16)
5
Lattice="5.215 0.000 0.000 0.000 5.215 0.000 0.000 0.000 5.776" Properties=species:S:1:pos:R:3 comment="LiLaTeI2 PBE optimized geometry" formation_energy_uncorrected_ev_per_atom=-0.91 relative_energy_mev_per_atom=82 pbc="T T T"
Li 0.000 0.000 0.000
La 2.607 2.607 2.888
Te 0.000 0.000 2.888
I 0.000 2.607 0.000
I 2.607 0.000 0.000

=====

(17)
Computed, not measured: a geometry-optimized K2Zn3Sn4Hg structure at the PBE level of DFT.

Geometry as extended XYZ:
```
10
Lattice="4.773 0.000 0.000 0.000 4.773 0.000 0.000 0.000 11.835" Properties=species:S:1:pos:R:3 pbc="T T T"
K 0.000 2.387 2.939
K 2.387 0.000 8.896
Zn 0.000 0.000 0.000
Zn 0.000 2.387 7.510
Zn 2.387 0.000 4.325
Sn 0.000 0.000 5.917
Sn 0.000 2.387 10.202
Sn 2.387 0.000 1.633
Sn 2.387 2.387 5.917
Hg 2.387 2.387 0.000
```

=====

(18)
32
Lattice="9.725 0.000 0.000 -4.862 8.422 0.000 0.000 0.000 5.513" Properties=species:S:1:pos:R:3 comment="PaS3O12 PBE optimized geometry" formation_energy_uncorrected_ev_per_atom=-1.65 pbc="T T T"
Pa 0.000 5.615 1.378
Pa 4.862 2.807 4.135
S -0.982 3.307 4.135
S -1.507 7.619 4.135
S 2.373 2.504 1.378
S 2.490 5.918 4.135
S 6.370 0.803 1.378
S 5.845 5.115 1.378
O -2.523 5.679 1.378
O -2.893 7.229 4.135
O 0.048 2.302 4.135
O -0.864 4.224 2.932
O -0.864 4.224 5.338
O 2.018 1.110 1.378
O 1.206 3.397 1.378
O -0.773 7.058 2.932
O -0.773 7.058 5.338
O 3.545 0.654 4.135
O 1.636 5.562 2.932
O 1.636 5.562 5.338
O 3.226 2.860 0.175
O 3.226 2.860 2.582
O 1.317 7.767 1.378
O 5.635 1.364 0.175
O 5.635 1.364 2.582
O 3.657 5.025 4.135
O 2.845 7.312 4.135
O 5.726 4.198 0.175
O 5.726 4.198 2.582
O 4.815 6.120 1.378
O 7.755 1.193 1.378
O 7.386 2.743 4.135

=====

(19)
Computed, not measured: a geometry-optimized Sc2BeNiSn structure at the PBE level of DFT.

Geometry as extended XYZ:
```
5
Lattice="5.359 0.000 0.000 0.000 5.359 0.000 0.000 0.000 4.289" Properties=species:S:1:pos:R:3 pbc="T T T"
Sc 0.000 2.680 0.000
Sc 2.680 0.000 0.000
Be 0.000 0.000 2.145
Ni 2.680 2.680 2.145
Sn 0.000 0.000 0.000
```

=====

(20)
4
Lattice="0.000 3.613 3.613 3.613 0.000 3.613 3.613 3.613 0.000" Properties=species:S:1:pos:R:3 comment="CsTlH2 PBE optimized geometry" relative_energy_mev_per_atom=106 pbc="T T T"
Cs 0.000 0.000 0.000
Tl 3.613 3.613 3.613
H 1.806 1.806 1.806
H 5.419 5.419 5.419

=====

(21)
10
Lattice="6.062 0.000 0.000 2.812 7.914 0.000 1.147 3.155 8.522" Properties=species:S:1:pos:R:3 comment="RbLiI2Br6 PBE optimized geometry" formation_energy_uncorrected_ev_per_atom=-0.67 pbc="T T T"
Rb 0.000 0.000 0.000
Li 5.301 4.611 4.245
I 3.081 2.906 2.294
I 6.957 8.437 6.086
Br 3.928 8.469 6.157
Br 3.334 5.567 2.854
Br 5.834 8.169 1.848
Br 4.212 3.239 6.291
Br 6.889 5.723 5.961
Br 6.115 2.963 2.361

=====

(22)
Computed, not measured: a geometry-optimized Y4Tm2Al structure at the PBE level of DFT.

Geometry as extended XYZ:
```
7
Lattice="-1.808 2.791 10.461 1.808 -2.791 10.461 1.808 2.791 -10.461" Properties=species:S:1:pos:R:3 pbc="T T T"
Y 0.000 0.000 1.704
Y 0.000 0.000 7.834
Y 0.000 0.000 13.088
Y 0.000 0.000 19.218
Tm 1.808 0.000 4.713
Tm 0.000 2.791 5.748
Al 0.000 2.791 0.000
```

=====

(23)
5
Lattice="4.595 0.000 0.000 0.000 4.595 0.000 0.000 0.000 4.595" Properties=species:S:1:pos:R:3 comment="Ga3CuC PBE optimized geometry" relative_energy_mev_per_atom=538 pbc="T T T"
Ga 0.000 0.000 2.297
Ga 0.000 2.297 0.000
Ga 2.297 0.000 0.000
Cu 0.000 0.000 0.000
C 2.297 2.297 2.297

=====

Number 1: calculated total energy -0.1623 hartree per atom. Number 2: calculated total energy -0.2212 hartree per atom. Number 3: calculated total energy -0.1893 hartree per atom. Number 4: calculated total energy -0.1516 hartree per atom. Number 5: calculated total energy -0.2543 hartree per atom. Number 6: calculated total energy -0.2538 hartree per atom. Number 7: calculated total energy -0.1528 hartree per atom. Number 8: calculated total energy -0.1532 hartree per atom. Number 9: calculated total energy -0.0759 hartree per atom. Number 10: calculated total energy -0.2538 hartree per atom. Number 11: calculated total energy -0.1146 hartree per atom. Number 12: calculated total energy -0.1431 hartree per atom. Number 13: calculated total energy -0.0966 hartree per atom. Number 14: calculated total energy -0.2101 hartree per atom. Number 15: calculated total energy -0.2062 hartree per atom. Number 16: calculated total energy -0.1295 hartree per atom. Number 17: calculated total energy -0.0863 hartree per atom. Number 18: calculated total energy -0.2476 hartree per atom. Number 19: calculated total energy -0.1630 hartree per atom. Number 20: calculated total energy -0.0824 hartree per atom. Number 21: calculated total energy -0.0834 hartree per atom. Number 22: calculated total energy -0.2038 hartree per atom. Number 23: calculated total energy -0.1166 hartree per atom.